*i*
Compound: Y2S2O
Source: Alexandria via LeMat-Bulk
Functional: PBE
Structure: optimized geometry

D(E_F)	0.0	states/eV per cell
calculated density	4.4	g cm⁻³

Structure (CIF):
```
data_Y2S2O
_symmetry_space_group_name_H-M 'P 1'
_symmetry_Int_Tables_number 1
_cell_length_a 6.930
_cell_length_b 6.894
_cell_length_c 8.320
_cell_angle_alpha 80.71
_cell_angle_beta 90.00
_cell_angle_gamma 90.00
loop_
_symmetry_equiv_pos_as_xyz
'x,y,z'
loop_
_atom_site_label
_atom_site_fract_x
_atom_site_fract_y
_atom_site_fract_z
S1 0.276 0.970 0.075
S2 0.724 0.030 0.925
S3 0.776 0.530 0.925
S4 0.866 0.077 0.319
S5 0.634 0.577 0.319
Y1 0.856 0.679 0.576
S6 0.366 0.423 0.681
O1 0.913 0.350 0.617
S7 0.134 0.923 0.681
O2 0.413 0.150 0.383
Y2 0.945 0.750 0.138
Y3 0.555 0.250 0.138
S8 0.224 0.470 0.075
Y4 0.644 0.179 0.576
Y5 0.055 0.250 0.862
O3 0.087 0.650 0.383
Y6 0.356 0.821 0.424
Y7 0.144 0.321 0.424
O4 0.587 0.850 0.617
Y8 0.445 0.750 0.862
```

---

*ii*
Compound: Y2S2O
Source: Alexandria via LeMat-Bulk
Functional: PBE
Structure: optimized geometry

calculated density	4.4	g cm⁻³

Structure (CIF):
```
data_Y2S2O
_symmetry_space_group_name_H-M 'P 1'
_symmetry_Int_Tables_number 1
_cell_length_a 3.527
_cell_length_b 5.467
_cell_length_c 10.548
_cell_angle_alpha 90.00
_cell_angle_beta 90.00
_cell_angle_gamma 108.81
loop_
_symmetry_equiv_pos_as_xyz
'x,y,z'
loop_
_atom_site_label
_atom_site_fract_x
_atom_site_fract_y
_atom_site_fract_z
O1 0.371 0.742 0.495
S1 0.079 0.158 0.638
S2 0.336 0.672 0.830
S3 0.664 0.328 0.330
Y1 0.219 0.437 0.129
Y2 0.035 0.069 0.892
Y3 0.781 0.563 0.629
Y4 0.965 0.931 0.392
O2 0.629 0.258 0.995
S4 0.921 0.842 0.138
```

---

Relative energy table, unit meV/atom: *i* 0; *ii* 216

---

*i*
Compound: Zr2SO
Source: Alexandria via LeMat-Bulk
Functional: PBE
Structure: optimized geometry

D(E_F)	9.4	states/eV per cell
calculated density	5.0	g cm⁻³

Structure (CIF):
```
data_Zr2SO
_symmetry_space_group_name_H-M 'P 1'
_symmetry_Int_Tables_number 1
_cell_length_a 5.305
_cell_length_b 5.305
_cell_length_c 6.649
_cell_angle_alpha 66.49
_cell_angle_beta 66.49
_cell_angle_gamma 90.00
loop_
_symmetry_equiv_pos_as_xyz
'x,y,z'
loop_
_atom_site_label
_atom_site_fract_x
_atom_site_fract_y
_atom_site_fract_z
Zr1 0.375 0.437 0.750
O1 0.250 0.750 0.500
Zr2 0.875 0.813 0.750
Zr3 0.563 0.125 0.250
S1 0.750 0.250 0.500
Zr4 0.187 0.625 0.250
O2 0.500 0.500 0.000
S2 0.000 0.000 0.000
```

---

*ii*
Compound: Zr2SO
Source: Alexandria via LeMat-Bulk
Functional: PBE
Structure: optimized geometry

D(E_F)	0.4	states/eV per cell
calculated density	6.5	g cm⁻³

Structure (CIF):
```
data_Zr2SO
_symmetry_space_group_name_H-M 'P 1'
_symmetry_Int_Tables_number 1
_cell_length_a 4.361
_cell_length_b 4.361
_cell_length_c 4.361
_cell_angle_alpha 60.00
_cell_angle_beta 60.00
_cell_angle_gamma 60.00
loop_
_symmetry_equiv_pos_as_xyz
'x,y,z'
loop_
_atom_site_label
_atom_site_fract_x
_atom_site_fract_y
_atom_site_fract_z
S1 0.500 0.500 0.500
Zr1 0.750 0.750 0.750
Zr2 0.250 0.250 0.250
O1 0.000 0.000 0.000
```

---

Relative energy table, unit meV/atom: *i* 0; *ii* 141

---

*i*
Compound: ZrS3O
Source: Alexandria via LeMat-Bulk
Functional: PBE
Structure: optimized geometry

D(E_F)	7.6	states/eV per cell
calculated density	2.7	g cm⁻³

Structure (CIF):
```
data_ZrS3O
_symmetry_space_group_name_H-M 'P 1'
_symmetry_Int_Tables_number 1
_cell_length_a 4.983
_cell_length_b 4.983
_cell_length_c 4.983
_cell_angle_alpha 90.00
_cell_angle_beta 90.00
_cell_angle_gamma 90.00
loop_
_symmetry_equiv_pos_as_xyz
'x,y,z'
loop_
_atom_site_label
_atom_site_fract_x
_atom_site_fract_y
_atom_site_fract_z
Zr1 0.000 0.000 0.000
S1 0.500 0.000 0.000
S2 0.000 0.000 0.500
O1 0.500 0.500 0.500
S3 0.000 0.500 0.000
```

---

*ii*
Compound: ZrS3O
Source: Alexandria via LeMat-Bulk
Functional: PBE
Structure: optimized geometry

D(E_F)	3.0	states/eV per cell
calculated density	4.4	g cm⁻³

Structure (CIF):
```
data_ZrS3O
_symmetry_space_group_name_H-M 'P 1'
_symmetry_Int_Tables_number 1
_cell_length_a 4.236
_cell_length_b 4.236
_cell_length_c 4.236
_cell_angle_alpha 90.00
_cell_angle_beta 90.00
_cell_angle_gamma 90.00
loop_
_symmetry_equiv_pos_as_xyz
'x,y,z'
loop_
_atom_site_label
_atom_site_fract_x
_atom_site_fract_y
_atom_site_fract_z
O1 0.000 0.000 0.000
S1 0.500 0.000 0.000
S2 0.000 0.000 0.500
Zr1 0.500 0.500 0.500
S3 0.000 0.500 0.000
```

---

Relative energy table, unit meV/atom: *i* 195; *ii* 0

---

*i*
Compound: ZrSO2
Source: Alexandria via LeMat-Bulk
Functional: PBE
Structure: optimized geometry

D(E_F)	0.5	states/eV per cell
calculated density	4.3	g cm⁻³

Structure (CIF):
```
data_ZrSO2
_symmetry_space_group_name_H-M 'P 1'
_symmetry_Int_Tables_number 1
_cell_length_a 5.771
_cell_length_b 5.771
_cell_length_c 5.771
_cell_angle_alpha 36.03
_cell_angle_beta 36.03
_cell_angle_gamma 36.03
loop_
_symmetry_equiv_pos_as_xyz
'x,y,z'
loop_
_atom_site_label
_atom_site_fract_x
_atom_site_fract_y
_atom_site_fract_z
O1 0.123 0.123 0.123
O2 0.877 0.877 0.877
S1 0.000 0.000 0.000
Zr1 0.500 0.500 0.500
```

---

*ii*
Compound: ZrSO2
Source: Alexandria via LeMat-Bulk
Functional: PBE
Structure: optimized geometry

D(E_F)	1.6	states/eV per cell
calculated density	2.8	g cm⁻³

Structure (CIF):
```
data_ZrSO2
_symmetry_space_group_name_H-M 'P 1'
_symmetry_Int_Tables_number 1
_cell_length_a 6.253
_cell_length_b 6.253
_cell_length_c 6.449
_cell_angle_alpha 61.00
_cell_angle_beta 61.00
_cell_angle_gamma 90.00
loop_
_symmetry_equiv_pos_as_xyz
'x,y,z'
loop_
_atom_site_label
_atom_site_fract_x
_atom_site_fract_y
_atom_site_fract_z
O1 0.875 0.077 0.750
Zr1 0.000 0.000 0.000
S1 0.500 0.500 0.000
O2 0.923 0.625 0.250
S2 0.250 0.750 0.500
O3 0.827 0.125 0.250
Zr2 0.750 0.250 0.500
O4 0.375 0.173 0.750
```

---

*iii*
Compound: ZrSO2
Source: Alexandria via LeMat-Bulk
Functional: PBE
Structure: optimized geometry

D(E_F)	2.5	states/eV per cell
calculated density	5.6	g cm⁻³

Structure (CIF):
```
data_ZrSO2
_symmetry_space_group_name_H-M 'P 1'
_symmetry_Int_Tables_number 1
_cell_length_a 4.029
_cell_length_b 4.029
_cell_length_c 4.029
_cell_angle_alpha 60.00
_cell_angle_beta 60.00
_cell_angle_gamma 60.00
loop_
_symmetry_equiv_pos_as_xyz
'x,y,z'
loop_
_atom_site_label
_atom_site_fract_x
_atom_site_fract_y
_atom_site_fract_z
Zr1 0.500 0.500 0.500
O1 0.250 0.250 0.250
O2 0.750 0.750 0.750
S1 0.000 0.000 0.000
```

---

Relative energy table, unit meV/atom: *i* 16; *ii* 0; *iii* 631

---

*i*
Compound: SbO3
Source: Alexandria via LeMat-Bulk
Functional: PBE
Structure: optimized geometry

D(E_F)	12.6	states/eV per cell
calculated density	4.0	g cm⁻³

Structure (CIF):
```
data_SbO3
_symmetry_space_group_name_H-M 'P 1'
_symmetry_Int_Tables_number 1
_cell_length_a 7.384
_cell_length_b 7.384
_cell_length_c 7.384
_cell_angle_alpha 60.00
_cell_angle_beta 60.00
_cell_angle_gamma 60.00
loop_
_symmetry_equiv_pos_as_xyz
'x,y,z'
loop_
_atom_site_label
_atom_site_fract_x
_atom_site_fract_y
_atom_site_fract_z
Sb1 0.125 0.125 0.625
Sb2 0.125 0.625 0.125
O1 0.803 0.197 0.803
O2 0.197 0.803 0.197
O3 0.053 0.053 0.447
O4 0.197 0.803 0.803
O5 0.447 0.447 0.053
O6 0.803 0.803 0.197
Sb3 0.625 0.125 0.125
O7 0.447 0.053 0.053
Sb4 0.125 0.125 0.125
O8 0.053 0.447 0.053
O9 0.447 0.053 0.447
O10 0.803 0.197 0.197
O11 0.197 0.197 0.803
O12 0.053 0.447 0.447
```

---

*ii*
Compound: SbO3
Source: Alexandria via LeMat-Bulk
Functional: PBE
Structure: optimized geometry

D(E_F)	5.6	states/eV per cell
calculated density	5.7	g cm⁻³

Structure (CIF):
```
data_SbO3
_symmetry_space_group_name_H-M 'P 1'
_symmetry_Int_Tables_number 1
_cell_length_a 4.537
_cell_length_b 5.019
_cell_length_c 5.019
_cell_angle_alpha 120.00
_cell_angle_beta 90.00
_cell_angle_gamma 90.00
loop_
_symmetry_equiv_pos_as_xyz
'x,y,z'
loop_
_atom_site_label
_atom_site_fract_x
_atom_site_fract_y
_atom_site_fract_z
O1 0.974 0.659 0.000
O2 0.974 0.000 0.659
Sb1 0.724 0.333 0.667
Sb2 0.224 0.667 0.333
O3 0.474 0.659 0.659
O4 0.474 0.341 0.000
O5 0.474 0.000 0.341
O6 0.974 0.341 0.341
```

---

Relative energy table, unit meV/atom: *i* 0; *ii* 20

---

*i*
Compound: SbO3
Source: Alexandria via LeMat-Bulk
Functional: PBE
Structure: optimized geometry

D(E_F)	3.5	states/eV per cell
calculated density	5.3	g cm⁻³

Structure (CIF):
```
data_SbO3
_symmetry_space_group_name_H-M 'P 1'
_symmetry_Int_Tables_number 1
_cell_length_a 2.930
_cell_length_b 4.095
_cell_length_c 9.471
_cell_angle_alpha 90.00
_cell_angle_beta 90.00
_cell_angle_gamma 110.97
loop_
_symmetry_equiv_pos_as_xyz
'x,y,z'
loop_
_atom_site_label
_atom_site_fract_x
_atom_site_fract_y
_atom_site_fract_z
O1 0.606 0.212 0.250
O2 0.394 0.788 0.750
O3 0.136 0.273 0.606
O4 0.864 0.727 0.394
O5 0.136 0.273 0.894
Sb1 0.679 0.358 0.750
O6 0.864 0.727 0.106
Sb2 0.321 0.642 0.250
```

---

*ii*
Compound: SbO3
Source: Alexandria via LeMat-Bulk
Functional: PBE
Structure: optimized geometry

D(E_F)	6.2	states/eV per cell
calculated density	4.9	g cm⁻³

Structure (CIF):
```
data_SbO3
_symmetry_space_group_name_H-M 'P 1'
_symmetry_Int_Tables_number 1
_cell_length_a 4.722
_cell_length_b 5.510
_cell_length_c 10.346
_cell_angle_alpha 58.57
_cell_angle_beta 90.00
_cell_angle_gamma 90.00
loop_
_symmetry_equiv_pos_as_xyz
'x,y,z'
loop_
_atom_site_label
_atom_site_fract_x
_atom_site_fract_y
_atom_site_fract_z
Sb1 0.036 0.148 0.097
O1 0.647 0.841 0.781
O2 0.353 0.159 0.219
Sb2 0.964 0.852 0.903
O3 0.746 0.095 0.463
O4 0.177 0.523 0.915
O5 0.147 0.159 0.719
O6 0.677 0.477 0.585
O7 0.246 0.905 0.037
O8 0.853 0.841 0.281
O9 0.254 0.905 0.537
Sb3 0.536 0.852 0.403
O10 0.323 0.523 0.415
Sb4 0.464 0.148 0.597
O11 0.754 0.095 0.963
O12 0.823 0.477 0.085
```

---

Relative energy table, unit meV/atom: *i* 171; *ii* 0